Entry from Alexandria via LeMat-Bulk: CsSb4Pb after structural relaxation (PBE).

The total energy comes out at -20.80 eV/f.u.

The structure belongs to space group F-43m (No. 216); the cell edges are 9.315, 9.315 and 9.315 Å and the angles 90.00°, 90.00° and 90.00°. The distinct sites, in fractional coordinates, are Cs at (0.000, 0.000, 0.000), Sb at (0.117, 0.117, 0.383) and Pb at (0.250, 0.250, 0.750).



Entry from Alexandria via LeMat-Bulk: CsSb3Pb3 after structural relaxation (PBE).

The energy relative to the lowest polymorph listed for this composition comes out at 0.000 eV per atom.

The structure belongs to space group R-3 (No. 148, hexagonal axes); the cell edges are 9.1255, 9.1255 and 26.8672 Å and the angles 90.00°, 90.00° and 120.00°. The distinct sites, in fractional coordinates, are Cs at (0.0000, 0.0000, 0.1668), Sb at (0.0000, 0.3329, 0.0713) and Pb at (0.0009, 0.3327, 0.6243).



no.,D(E_F) (states/eV per cell)
1,19.58
2,16.66